Record 1
SrPCl2: relaxed, GGA-PBE.

```
4
Lattice="3.515 0.000 0.000 0.000 3.515 0.000 0.000 0.000 10.593" Properties=species:S:1:pos:R:3 pbc="T T T"
Sr 0.000 0.000 0.000
P 0.000 0.000 5.296
Cl 1.758 1.758 1.641
Cl 1.758 1.758 8.952
```

Values from the calculation:
For the polymorph energy (0 for the lowest one), the calculation gives 20.6 kJ per mole of atoms. The value obtained for the density of states at the Fermi level is 0.83 states/eV per cell. The value obtained for the final energy is -3.555 eV per atom.

=====

Record 2
LaBeTl4: relaxed, GGA-PBE.

```
6
Lattice="0.000 4.456 4.456 4.456 0.000 4.456 4.456 4.456 0.000" Properties=species:S:1:pos:R:3 pbc="T T T"
La 0.000 0.000 0.000
Be 2.228 2.228 2.228
Tl 5.567 3.346 3.346
Tl 3.346 5.567 3.346
Tl 3.346 3.346 5.567
Tl 5.567 5.567 5.567
```

Values from the calculation:
The value obtained for the density of states at the Fermi level is 6.01 states/eV per cell. The value obtained for the final energy is -2.617 eV per atom.